The following is a PBEsol calculation of an optimized crystal structure of Ti2SiSb, from Alexandria.

## Properties
VASP energy: -6.961 eV per atom
magnetic moment: 0.01 μB/cell
calculated volume: 16.94 A^3/atom
uncorrected formation energy: -0.224 eV per atom

abc: 6.4712 6.4712 6.4712
angles: 90.00 90.00 90.00
Space group Fm-3m (No. 225)
Unique sites:
1 Ti 0.2500 0.2500 0.2500
2 Si 0.0000 0.0000 0.0000
3 Sb 0.0000 0.0000 0.5000